# 1
Entry from the Alexandria database: a PBEsol-optimized structure of TeP (meta-GGA SCAN).

Values from the calculation:
Raw formation energy, eV/atom: 0.295
Magnetic moment, Bohr magnetons per cell: 0.00
Volume, Å³/cell: 89.2
Symmetry: Pmmn

Cell: 3.9719 3.9779 5.6461 Å, 90.00 90.00 90.00°
With the nearest neighbours (Å) after each atom.
Positions (direct):
Te 0.2498 0.5000 0.0000  6 P 2.81-2.82
Te 0.7502 0.0000 0.5000  6 P 2.81-2.82
P 0.2509 0.5000 0.5000  6 Te 2.81-2.82
P 0.7491 0.0000 0.0000  6 Te 2.81-2.82



# 2
Entry from the Alexandria database: a PBEsol-optimized structure of Na3MoH (meta-GGA SCAN).

Values from the calculation:
E, eV per atom: -9.428
Magnetic moment, Bohr magnetons per cell: 5.88
Volume, Å³/cell: 113.4
Symmetry: Pm-3m

Cell: 4.8396 4.8396 4.8396 Å, 90.00 90.00 90.00°
With the nearest neighbours (Å) after each atom.
Positions (direct):
Na 0.0000 0.5000 0.0000  2 H 2.42
Na 0.0000 0.0000 0.5000  2 H 2.42
Na 0.5000 0.0000 0.0000  2 H 2.42
Mo 0.5000 0.5000 0.5000  12 Na 3.42
H 0.0000 0.0000 0.0000  6 Na 2.42



# 3
Entry from the Alexandria database: a PBEsol-optimized structure of SiBiF2 (meta-GGA SCAN).

Values from the calculation:
Raw formation energy, eV/atom: -0.912
Magnetic moment, Bohr magnetons per cell: 0.00
Volume, Å³/cell: 85.4
Symmetry: R-3m

Cell: 3.3543 3.3543 8.9748 Å, 79.23 79.23 60.00°
With the nearest neighbours (Å) after each atom.
Positions (direct):
F 0.2057 0.2057 0.3829  3 Si 2.19
F 0.7943 0.7943 0.6171  3 Si 2.19
Bi 0.0000 0.0000 0.0000  6 Bi 3.35
Si 0.5000 0.5000 0.5000  6 F 2.19



# 4
Entry from the Alexandria database: a PBEsol-optimized structure of LiZnIr2 (meta-GGA SCAN).

Values from the calculation:
ΔE_f, eV per atom: -0.208
Magnetic moment, Bohr magnetons per cell: 0.00
Volume, Å³/cell: 54.5
Symmetry: Immm

Cell: 2.7822 4.5209 5.0795 Å, 116.42 105.89 90.00°
With the nearest neighbours (Å) after each atom.
Positions (direct):
Ir 0.2404 0.2404 0.4808  2 Zn 2.50, 2 Li 2.64, 6 Ir 2.66-2.78
Ir 0.7596 0.7596 0.5192  2 Zn 2.50, 2 Li 2.64, 6 Ir 2.66-2.78
Zn 0.5000 0.0000 0.0000  4 Ir 2.50, 4 Li 2.65, 2 Zn 2.78
Li 0.0000 0.5000 0.0000  4 Ir 2.64, 4 Zn 2.65, 2 Li 2.78



# 5
Entry from the Alexandria database: a PBEsol-optimized structure of Zr2ReTc (meta-GGA SCAN).

Values from the calculation:
ΔE_f, eV per atom: -0.135
Magnetic moment, Bohr magnetons per cell: 0.00
Volume, Å³/cell: 72.9
Symmetry: P4mm

Cell: 3.0047 3.0047 8.0782 Å, 90.00 90.00 90.00°
With the nearest neighbours (Å) after each atom.
Positions (direct):
Tc 0.5000 0.5000 0.7153  4 Re 2.57
Re 0.0000 0.0000 0.5355  4 Tc 2.57
Zr 0.0000 0.0000 0.9609  4 Tc 2.91, 4 Zr 3.00
Zr 0.5000 0.5000 0.2883  4 Re 2.92, 4 Zr 3.00



# 6
Entry from the Alexandria database: a PBEsol-optimized structure of CaScMn3 (meta-GGA SCAN).

Values from the calculation:
ΔE_f, eV per atom: 1.209
Magnetic moment, Bohr magnetons per cell: 11.28
Volume, Å³/cell: 100.5
Symmetry: Pm-3m

Cell: 4.6489 4.6489 4.6489 Å, 90.00 90.00 90.00°
With the nearest neighbours (Å) after each atom.
Positions (direct):
Sc 0.5000 0.5000 0.5000  12 Mn 3.29
Ca 0.0000 0.0000 0.0000  6 Mn 2.32
Mn 0.0000 0.0000 0.5000  2 Ca 2.32
Mn 0.5000 0.0000 0.0000  2 Ca 2.32
Mn 0.0000 0.5000 0.0000  2 Ca 2.32



# 7
Entry from the Alexandria database: a PBEsol-optimized structure of LaZr2Bi2 (meta-GGA SCAN).

Values from the calculation:
ΔE_f, eV per atom: -0.611
Magnetic moment, Bohr magnetons per cell: 0.00
Volume, Å³/cell: 137.1
Symmetry: I4/mmm

Cell: 4.3171 4.3171 7.9632 Å, 105.73 105.73 90.00°
With the nearest neighbours (Å) after each atom.
Positions (direct):
La 0.0000 0.0000 0.0000  8 Bi 3.45
Zr 0.2500 0.7500 0.5000  4 Bi 3.00, 4 Zr 3.05
Zr 0.7500 0.2500 0.5000  4 Bi 3.00, 4 Zr 3.05
Bi 0.3912 0.3912 0.7824  4 Zr 3.00, 1 Bi 3.20
Bi 0.6088 0.6088 0.2176  4 Zr 3.00, 1 Bi 3.20



# 8
Entry from the Alexandria database: a PBEsol-optimized structure of CuRe2Hg (meta-GGA SCAN).

Values from the calculation:
ΔE_f, eV per atom: 0.610
Magnetic moment, Bohr magnetons per cell: 0.00
Volume, Å³/cell: 60.2
Symmetry: C2/m

Cell: 2.8323 4.5897 4.9521 Å, 102.20 106.62 90.00°
With the nearest neighbours (Å) after each atom.
Positions (direct):
Re 0.2391 0.2347 0.4782  6 Re 2.62-2.83, 3 Cu 2.69-2.91, 3 Hg 2.80-2.88
Re 0.7609 0.7653 0.5218  6 Re 2.62-2.83, 3 Cu 2.69-2.91, 3 Hg 2.80-2.88
Cu 0.5000 0.0000 0.0000  6 Re 2.69-2.91, 4 Hg 2.70, 2 Cu 2.83
Hg 0.0000 0.5000 0.0000  4 Cu 2.70, 6 Re 2.80-2.88, 2 Hg 2.83